Below is KNaCa2Pd after structural relaxation, with properties calculated at the PBE level.

Cell: 5.6342 5.6342 6.4348 Å, 90.00 90.00 90.00°
Fractional coordinates of all 5 atoms:
Pd  0.0000  0.0000  0.0000
K  0.0000  0.0000  0.5000
Ca  0.0000  0.5000  0.0000
Ca  0.5000  0.0000  0.0000
Na  0.5000  0.5000  0.5000

DFT total energy, eV for the cell shown: -12.24
Formation energy from the elements, eV/atom: -0.12
Space-group type: No. 123
V, A^3/atom: 40.85

Below is NiAg2Ir after structural relaxation, with properties calculated at the PBE level.

Cell: 2.7217 2.7217 8.2274 Å, 90.00 90.00 90.00°
Each line ends with the local moment (μB).
Fractional coordinates of all 4 atoms:
Ir  0.5000  0.5000  0.2500  0.32
Ag  0.0000  0.0000  0.5148  0.01
Ag  0.0000  0.0000  0.9852  0.01
Ni  0.5000  0.5000  0.7500  0.44

DFT total energy, eV for the cell shown: -18.55
Formation energy from the elements, eV/atom: 0.45
Space-group type: No. 123
V, A^3/atom: 15.24

Below is TlSb2Br after structural relaxation, with properties calculated at the PBE level.

Cell: 3.4757 3.4757 10.6551 Å, 90.00 90.00 119.03°
Fractional coordinates of all 4 atoms:
Sb  0.0000  0.0000  0.5137
Sb  0.0000  0.0000  0.9863
Tl  0.5000  0.5000  0.2500
Br  0.5000  0.5000  0.7500

DFT total energy, eV for the cell shown: -11.77
Space-group type: No. 65
V, A^3/atom: 28.14

Below is NaTl2InHg4 after structural relaxation, with properties calculated at the PBE level.

Cell: 8.9715 8.9715 10.9447 Å, 127.59 127.59 88.18°
Fractional coordinates of all 16 atoms:
Hg  0.2514  0.2493  0.0077
Hg  0.7493  0.7514  0.5077
Hg  0.2507  0.2486  0.4923
Hg  0.7608  0.2518  0.0063
Hg  0.2482  0.7392  0.4937
Hg  0.7518  0.2608  0.5063
Hg  0.7486  0.7507  0.9923
Hg  0.2392  0.7482  0.9937
Tl  0.0000  0.0000  0.5000
Tl  0.5000  0.0000  0.5000
Tl  0.5000  0.0000  0.0000
Tl  0.5000  0.5000  0.0000
In  0.5000  0.5000  0.5000
In  0.0000  0.0000  0.0000
Na  0.0000  0.5000  0.0000
Na  0.0000  0.5000  0.5000

DFT total energy, eV for the cell shown: -20.85
Formation energy from the elements, eV/atom: -0.05
Space-group type: No. 74
V, A^3/atom: 29.06

Below is ScAsPSe2 after structural relaxation, with properties calculated at the PBE level.

Cell: 4.8595 4.8595 4.6587 Å, 90.00 90.00 90.00°
Fractional coordinates of all 5 atoms:
As  0.0000  0.0000  0.5000
Se  0.5000  0.0000  0.0000
Se  0.0000  0.5000  0.0000
Sc  0.5000  0.5000  0.5000
P  0.0000  0.0000  0.0000

DFT total energy, eV for the cell shown: -23.35
Space-group type: No. 123
V, A^3/atom: 22.00

Below is ZrP2CBr after structural relaxation, with properties calculated at the PBE level.

Cell: 5.1008 5.2659 5.1008 Å, 90.00 90.00 90.00°
Each line ends with the local moment (μB).
Fractional coordinates of all 5 atoms:
P  0.5000  0.0000  0.0000  -0.19
P  0.0000  0.0000  0.5000  -0.25
Br  0.0000  0.5000  0.0000  -0.08
Zr  0.0000  0.0000  0.0000  -0.01
C  0.5000  0.5000  0.5000  0.89

DFT total energy, eV for the cell shown: -22.87
Space-group type: No. 123
V, A^3/atom: 27.40

Below is CaReAs after structural relaxation, with properties calculated at the PBE level.

Cell: 4.4306 4.4306 4.4306 Å, 60.00 60.00 60.00°
Each line ends with the local moment (μB).
Fractional coordinates of all 3 atoms:
Re  0.5000  0.5000  0.5000  0.32
Ca  0.0000  0.0000  0.0000  0.00
As  0.7500  0.7500  0.7500  -0.01

DFT total energy, eV for the cell shown: -18.01
Formation energy from the elements, eV/atom: 0.36
Space-group type: No. 216
V, A^3/atom: 20.50

Below is Tb2TmTh2 after structural relaxation, with properties calculated at the PBE level.

Cell: 7.1252 7.1252 11.5116 Å, 93.47 93.47 143.55°
Fractional coordinates of all 10 atoms:
Th  0.6250  0.3750  0.7500
Th  0.6250  0.3750  0.2500
Th  0.6250  0.8750  0.2500
Th  0.1250  0.3750  0.7500
Tm  0.5000  0.5000  0.0000
Tm  0.7500  0.2500  0.5000
Tb  0.8264  0.1736  0.0000
Tb  0.4236  0.5764  0.5000
Tb  0.0764  0.9236  0.5000
Tb  0.1736  0.8264  0.0000

DFT total energy, eV for the cell shown: -51.73
Formation energy from the elements, eV/atom: 0.54
Space-group type: No. 70
V, A^3/atom: 34.06

- Which value of DFT total energy does entry 3 give?
  -11.77 eV for the cell shown

- Number 3 is which compound?
  TlSb2Br

Please write out number 5 again, unchanged.
Below is ScAsPSe2 after structural relaxation, with properties calculated at the PBE level.

Cell: 4.8595 4.8595 4.6587 Å, 90.00 90.00 90.00°
Fractional coordinates of all 5 atoms:
As  0.0000  0.0000  0.5000
Se  0.5000  0.0000  0.0000
Se  0.0000  0.5000  0.0000
Sc  0.5000  0.5000  0.5000
P  0.0000  0.0000  0.0000

DFT total energy, eV for the cell shown: -23.35
Space-group type: No. 123
V, A^3/atom: 22.00